## VCdMo3 (PBE-GGA)

Data for a geometry-optimized VCdMo3 structure.

Cell lengths 4.562, 4.562, 4.562 Å; angles 90.00, 90.00, 90.00 degrees
Space group Pm-3m (No. 221)
One atom of each set of equivalent atoms:
V1 0.000 0.000 0.000
Cd1 0.500 0.500 0.500
Mo1 0.000 0.000 0.500

## Properties
Spin magnetization ... 0.000 μB per atom
ΔE_f ... 1190.2 meV/atom
E above lowest polymorph ... 0 meV/atom
Volume ... 18.99 A^3/atom